1 | Density functional theory data (PBE) for crystalline VNi2Te6 at its relaxed geometry.

Summary:
**Total magnetic moment**: 1.0 μB per formula unit
**Theoretical density**: 7.03 Mg/m³

Structure (extended XYZ):
```
9
Lattice="3.769 0.000 0.000 1.884 6.268 0.349 1.884 3.192 9.510" Properties=species:S:1:pos:R:3 pbc="T T T"
V 1.884 4.730 4.930
Ni 3.769 7.280 8.267
Ni 3.769 2.181 1.593
Te 3.769 4.436 0.519
Te 3.769 5.025 9.340
Te 5.653 6.028 2.635
Te 3.769 6.475 5.835
Te 1.884 3.432 7.224
Te 3.769 2.985 4.024
```



2 | Density functional theory data (PBE) for crystalline VNi2Te6 at its relaxed geometry.

Summary:
**Total magnetic moment**: 1.8 μB per formula unit
**Theoretical density**: 6.65 Mg/m³

Structure (extended XYZ):
```
9
Lattice="3.763 0.000 0.000 -1.882 5.971 -2.133 0.000 -1.064 10.753" Properties=species:S:1:pos:R:3 pbc="T T T"
V 0.000 -0.532 5.376
Ni 1.882 1.064 8.252
Ni 0.000 3.843 0.368
Te 0.000 -0.718 8.101
Te 1.882 2.148 0.083
Te 0.000 2.759 8.537
Te 1.882 1.421 5.656
Te 0.000 3.486 2.964
Te 1.882 5.625 0.518
```



What is the most stable structure shown above? It is 2.